(1)
{
  "formula": "Na2SrAl3F12",
  "functional": "PBE",
  "state": "optimized geometry",
  "magmom_total_mub_per_fu": 0.00,
  "raw_formation_energy_ev_per_atom": -3.2835,
  "cell": [[7.3818, 0.1458, 0.1034], [3.7723, 6.3468, 0.1034], [3.7723, 2.1958, 5.9558]],
  "species": ["Na", "Na", "Sr", "Al", "Al", "Al", "F", "F", "F", "F", "F", "F", "F", "F", "F", "F", "F", "F"],
  "fractional_positions": [[0.6679, 0.6679, 0.6679], [0.3321, 0.3321, 0.3321], [0.0000, 0.0000, 0.0000], [0.5000, 0.0000, 0.0000], [0.0000, 0.5000, 0.0000], [0.0000, 0.0000, 0.5000], [0.2831, 0.2831, 0.9199], [0.8953, 0.8953, 0.4140], [0.4140, 0.8953, 0.8953], [0.9199, 0.2831, 0.2831], [0.8953, 0.4140, 0.8953], [0.2831, 0.9199, 0.2831], [0.7169, 0.7169, 0.0801], [0.1047, 0.1047, 0.5860], [0.5860, 0.1047, 0.1047], [0.0801, 0.7169, 0.7169], [0.1047, 0.5860, 0.1047], [0.7169, 0.0801, 0.7169]]
}



(2)
{
  "formula": "BPCl3",
  "functional": "PBE",
  "state": "optimized geometry",
  "magmom_total_mub_per_fu": 0.47,
  "raw_formation_energy_ev_per_atom": 0.8070,
  "cell": [[4.8532, 0.0000, 0.0000], [0.0000, 4.8532, 0.0000], [0.0000, 0.0000, 4.8532]],
  "species": ["P", "B", "Cl", "Cl", "Cl"],
  "fractional_positions": [[0.0000, 0.0000, 0.0000], [0.5000, 0.5000, 0.5000], [0.0000, 0.5000, 0.0000], [0.0000, 0.0000, 0.5000], [0.5000, 0.0000, 0.0000]]
}



(3)
{
  "formula": "Sn3Te2Cl2",
  "functional": "PBE",
  "state": "optimized geometry",
  "magmom_total_mub_per_fu": 0.00,
  "raw_formation_energy_ev_per_atom": -0.5232,
  "cell": [[-1.5675, -2.5886, 3.0447], [6.8699, 0.8590, 4.2670], [-5.1212, 6.7410, 0.0686]],
  "species": ["Sn", "Sn", "Sn", "Te", "Te", "Cl", "Cl"],
  "fractional_positions": [[0.0000, 0.5000, 0.0000], [0.2569, 0.7567, 0.5137], [0.7431, 0.2433, 0.4863], [0.6310, 0.7916, 0.2621], [0.3690, 0.2084, 0.7379], [0.8621, 0.6253, 0.7243], [0.1379, 0.3747, 0.2757]]
}



(4)
{
  "formula": "Cs3ReTe",
  "functional": "PBE",
  "state": "optimized geometry",
  "magmom_total_mub_per_fu": 2.28,
  "raw_formation_energy_ev_per_atom": 1.0032,
  "cell": [[-5.4546, -2.4529, -1.0286], [2.2053, -2.8587, -4.8777], [1.4870, -4.7580, 3.4608]],
  "species": ["Cs", "Cs", "Cs", "Re", "Te"],
  "fractional_positions": [[0.0000, 0.5000, 0.0000], [0.0000, 0.0000, 0.5000], [0.5000, 0.0000, 0.0000], [0.0000, 0.0000, 0.0000], [0.5000, 0.5000, 0.5000]]
}



(5)
{
  "formula": "HoGa12Rh4",
  "functional": "PBE",
  "state": "optimized geometry",
  "magmom_total_mub_per_fu": 0.00,
  "formation_energy_mev_per_atom": -219,
  "cell": [[-0.0718, 3.5760, -6.6778], [-6.5606, 1.2168, 3.5866], [5.7114, 2.6415, 4.2176]],
  "species": ["Ho", "Ga", "Ga", "Ga", "Ga", "Ga", "Ga", "Ga", "Ga", "Ga", "Ga", "Ga", "Ga", "Rh", "Rh", "Rh", "Rh"],
  "fractional_positions": [[0.0000, 0.0000, 0.0000], [0.8430, 0.3402, 0.1832], [0.3402, 0.4973, 0.1570], [0.8168, 0.1570, 0.6598], [0.3402, 0.1832, 0.8430], [0.1832, 0.8430, 0.3402], [0.6598, 0.5027, 0.8430], [0.4973, 0.1570, 0.3402], [0.5027, 0.8430, 0.6598], [0.6598, 0.8168, 0.1570], [0.8430, 0.6598, 0.5027], [0.1570, 0.3402, 0.4973], [0.1570, 0.6598, 0.8168], [0.0000, 0.5000, 0.0000], [0.5000, 0.0000, 0.0000], [0.5000, 0.5000, 0.5000], [0.0000, 0.0000, 0.5000]]
}



(6)
{
  "formula": "Tl2IrOs",
  "functional": "PBE",
  "state": "optimized geometry",
  "magmom_total_mub_per_fu": 0.00,
  "formation_energy_mev_per_atom": 1058,
  "cell": [[5.2719, -0.0003, 0.0000], [2.0670, 4.8497, 0.0000], [-3.6695, -2.4247, 2.9066]],
  "species": ["Ir", "Os", "Tl", "Tl"],
  "fractional_positions": [[0.5000, 0.5000, 0.0000], [0.7500, 0.2500, 0.5000], [0.0000, 0.0000, 0.0000], [0.2500, 0.7500, 0.5000]]
}



(7)
{
  "formula": "YHg2TeSe",
  "functional": "PBE",
  "state": "optimized geometry",
  "magmom_total_mub_per_fu": 0.00,
  "raw_formation_energy_ev_per_atom": 0.0932,
  "cell": [[-3.7141, 1.2298, 3.8183], [-0.1607, -5.6403, 1.6603], [4.0087, 0.9441, 3.5952]],
  "species": ["Y", "Te", "Hg", "Hg", "Se"],
  "fractional_positions": [[0.0000, 0.5000, 0.0000], [0.0000, 0.0000, 0.0000], [0.0000, 0.0000, 0.5000], [0.5000, 0.0000, 0.0000], [0.5000, 0.5000, 0.5000]]
}



(8)
{
  "formula": "LiDy4Ag5",
  "functional": "PBE",
  "state": "optimized geometry",
  "magmom_total_mub_per_fu": 0.00,
  "formation_energy_mev_per_atom": -282,
  "cell": [[3.5694, 0.0000, 0.0000], [0.0000, 3.5694, 0.0000], [0.0000, 0.0000, 17.7695]],
  "species": ["Li", "Dy", "Dy", "Dy", "Dy", "Ag", "Ag", "Ag", "Ag", "Ag"],
  "fractional_positions": [[0.0000, 0.0000, 0.0000], [0.0000, 0.0000, 0.1848], [0.0000, 0.0000, 0.3950], [0.0000, 0.0000, 0.6050], [0.0000, 0.0000, 0.8152], [0.5000, 0.5000, 0.0810], [0.5000, 0.5000, 0.2904], [0.5000, 0.5000, 0.5000], [0.5000, 0.5000, 0.7096], [0.5000, 0.5000, 0.9190]]
}



(9)
{
  "formula": "CrSnC2",
  "functional": "PBE",
  "state": "optimized geometry",
  "magmom_total_mub_per_fu": 1.95,
  "formation_energy_mev_per_atom": 805,
  "cell": [[-0.3077, 3.5314, 3.2180], [-4.0545, -1.8989, 1.6961], [0.3668, -1.8211, 5.5949]],
  "species": ["Cr", "Cr", "C", "C", "C", "C", "Sn", "Sn"],
  "fractional_positions": [[0.5000, 0.5000, 0.0000], [0.2500, 0.7500, 0.5000], [0.5786, 0.1250, 0.2500], [0.1714, 0.6250, 0.2500], [0.3750, 0.4214, 0.7500], [0.8750, 0.8286, 0.7500], [0.0000, 0.0000, 0.0000], [0.7500, 0.2500, 0.5000]]
}



(10)
{
  "formula": "CaCuP2",
  "functional": "PBE",
  "state": "optimized geometry",
  "magmom_total_mub_per_fu": 0.00,
  "formation_energy_mev_per_atom": -424,
  "cell": [[-2.7889, 0.6730, 3.8586], [-3.5763, -1.2543, -2.9591], [3.7378, -2.5324, 1.6541]],
  "species": ["Ca", "Cu", "P", "P"],
  "fractional_positions": [[0.2500, 0.7500, 0.5000], [0.7500, 0.2500, 0.5000], [0.9267, 0.9267, 0.0000], [0.5733, 0.5733, 0.0000]]
}



(11)
{
  "formula": "KTa2Br",
  "functional": "PBE",
  "state": "optimized geometry",
  "magmom_total_mub_per_fu": 0.00,
  "raw_formation_energy_ev_per_atom": 1.1988,
  "cell": [[-0.8744, -0.1458, 7.4774], [5.6050, -1.1586, -4.8927], [0.6819, 2.7367, 0.1331]],
  "species": ["Br", "K", "Ta", "Ta"],
  "fractional_positions": [[0.5000, 0.0000, 0.5000], [0.0000, 0.5000, 0.5000], [0.0000, 0.0000, 0.0000], [0.5000, 0.5000, 0.0000]]
}



(12)
{
  "formula": "YIn2P2",
  "functional": "PBE",
  "state": "optimized geometry",
  "magmom_total_mub_per_fu": 0.00,
  "formation_energy_mev_per_atom": -153,
  "cell": [[-0.3172, -5.0129, -0.9800], [5.0930, -0.3852, 0.3217], [2.0493, -3.5308, 4.0349]],
  "species": ["Y", "P", "P", "In", "In"],
  "fractional_positions": [[0.0000, 0.0000, 0.0000], [0.7500, 0.2500, 0.5000], [0.2500, 0.7500, 0.5000], [0.3465, 0.3465, 0.3070], [0.6535, 0.6535, 0.6930]]
}



(13)
{
  "formula": "GaSn2Sb",
  "functional": "PBE",
  "state": "optimized geometry",
  "magmom_total_mub_per_fu": 0.00,
  "raw_formation_energy_ev_per_atom": 0.1033,
  "cell": [[3.9516, 0.0000, 0.0000], [0.0000, 3.9516, 0.0000], [0.0000, 0.0000, 6.6657]],
  "species": ["Sb", "Sn", "Sn", "Ga"],
  "fractional_positions": [[0.5000, 0.5000, 0.5000], [0.0000, 0.0000, 0.7531], [0.0000, 0.0000, 0.2469], [0.5000, 0.5000, 0.0000]]
}



(14)
{
  "formula": "Cr2CoAu",
  "functional": "PBE",
  "state": "optimized geometry",
  "magmom_total_mub_per_fu": 0.26,
  "formation_energy_mev_per_atom": 388,
  "cell": [[-1.5086, -0.3924, -4.3708], [4.5039, -1.0100, 0.4782], [-0.6082, -2.5054, 0.4350]],
  "species": ["Au", "Co", "Cr", "Cr"],
  "fractional_positions": [[0.5000, 0.0000, 0.5000], [0.0000, 0.5000, 0.5000], [0.0000, 0.0000, 0.0000], [0.5000, 0.5000, 0.0000]]
}



(15)
{
  "formula": "AsIrNO2",
  "functional": "PBE",
  "state": "optimized geometry",
  "magmom_total_mub_per_fu": 0.00,
  "raw_formation_energy_ev_per_atom": 0.4575,
  "cell": [[4.0153, 0.0000, 0.0000], [0.0000, 4.0153, 0.0000], [0.0000, 0.0000, 3.7712]],
  "species": ["As", "Ir", "O", "O", "N"],
  "fractional_positions": [[0.5000, 0.5000, 0.5000], [0.0000, 0.0000, 0.0000], [0.0000, 0.5000, 0.0000], [0.5000, 0.0000, 0.0000], [0.0000, 0.0000, 0.5000]]
}



(16)
{
  "formula": "ScVSCl2",
  "functional": "PBE",
  "state": "optimized geometry",
  "magmom_total_mub_per_fu": 3.99,
  "raw_formation_energy_ev_per_atom": -0.6691,
  "cell": [[-2.5440, -3.7487, -1.2236], [0.7191, -1.8728, 4.2423], [-4.0649, 2.2146, 1.6667]],
  "species": ["Sc", "S", "Cl", "Cl", "V"],
  "fractional_positions": [[0.5000, 0.5000, 0.5000], [0.0000, 0.0000, 0.5000], [0.0000, 0.5000, 0.0000], [0.5000, 0.0000, 0.0000], [0.0000, 0.0000, 0.0000]]
}



(17)
{
  "formula": "CuSn2F2",
  "functional": "PBE",
  "state": "optimized geometry",
  "magmom_total_mub_per_fu": 0.00,
  "raw_formation_energy_ev_per_atom": -1.0890,
  "cell": [[6.8727, 0.0000, 0.0000], [0.0000, 6.8727, 0.0000], [0.0000, 0.0000, 4.4732]],
  "species": ["Sn", "Sn", "Sn", "Sn", "Cu", "Cu", "F", "F", "F", "F"],
  "fractional_positions": [[0.3418, 0.8418, 0.0000], [0.8418, 0.6582, 0.0000], [0.6582, 0.1582, 0.0000], [0.1582, 0.3418, 0.0000], [0.0000, 0.0000, 0.0000], [0.5000, 0.5000, 0.0000], [0.3335, 0.8335, 0.5000], [0.8335, 0.6665, 0.5000], [0.6665, 0.1665, 0.5000], [0.1665, 0.3335, 0.5000]]
}



(18)
{
  "formula": "LiBe4Al",
  "functional": "PBE",
  "state": "optimized geometry",
  "magmom_total_mub_per_fu": 0.00,
  "formation_energy_mev_per_atom": -48,
  "cell": [[4.3891, 0.0000, 0.0000], [2.1945, 3.8011, 0.0000], [2.1945, 1.2670, 3.5837]],
  "species": ["Al", "Be", "Be", "Be", "Be", "Li"],
  "fractional_positions": [[0.0000, 0.0000, 0.0000], [0.1258, 0.6247, 0.6247], [0.6247, 0.6247, 0.6247], [0.6247, 0.1258, 0.6247], [0.6247, 0.6247, 0.1258], [0.2500, 0.2500, 0.2500]]
}



(19)
{
  "formula": "CeNdTmTl",
  "functional": "PBE",
  "state": "optimized geometry",
  "magmom_total_mub_per_fu": 0.16,
  "formation_energy_mev_per_atom": 23,
  "cell": [[-2.1026, 5.0280, -0.0007], [-5.3877, 0.7006, -0.4289], [-2.8698, 1.7542, 4.2883]],
  "species": ["Tl", "Tm", "Nd", "Ce"],
  "fractional_positions": [[0.7500, 0.7500, 0.7500], [0.5000, 0.5000, 0.5000], [0.0000, 0.0000, 0.0000], [0.2500, 0.2500, 0.2500]]
}



(20)
{
  "formula": "La4MgCo",
  "functional": "PBE",
  "state": "optimized geometry",
  "magmom_total_mub_per_fu": 1.71,
  "formation_energy_mev_per_atom": 665,
  "cell": [[0.0000, 4.5623, 4.5623], [4.5623, 0.0000, 4.5623], [4.5623, 4.5623, 0.0000]],
  "species": ["La", "La", "La", "La", "Mg", "Co"],
  "fractional_positions": [[0.8770, 0.3743, 0.3743], [0.3743, 0.3743, 0.8770], [0.3743, 0.8770, 0.3743], [0.3743, 0.3743, 0.3743], [0.7500, 0.7500, 0.7500], [0.0000, 0.0000, 0.0000]]
}



(21)
{
  "formula": "LiBe2Zn2Au5",
  "functional": "PBE",
  "state": "optimized geometry",
  "magmom_total_mub_per_fu": 0.00,
  "formation_energy_mev_per_atom": -167,
  "cell": [[3.4437, 0.0000, 0.0000], [0.0000, 9.4274, 0.0000], [0.0000, 0.0000, 9.4274]],
  "species": ["Li", "Li", "Be", "Be", "Be", "Be", "Zn", "Zn", "Zn", "Zn", "Au", "Au", "Au", "Au", "Au", "Au", "Au", "Au", "Au", "Au"],
  "fractional_positions": [[0.0000, 0.0000, 0.0000], [0.0000, 0.5000, 0.5000], [0.0000, 0.1290, 0.6290], [0.0000, 0.8710, 0.3710], [0.0000, 0.6290, 0.8710], [0.0000, 0.3710, 0.1290], [0.0000, 0.6674, 0.1674], [0.0000, 0.3326, 0.8326], [0.0000, 0.1674, 0.3326], [0.0000, 0.8326, 0.6674], [0.5000, 0.1925, 0.0935], [0.5000, 0.8075, 0.9065], [0.5000, 0.0935, 0.8075], [0.5000, 0.6925, 0.4065], [0.5000, 0.9065, 0.1925], [0.5000, 0.3075, 0.5935], [0.5000, 0.5935, 0.6925], [0.5000, 0.4065, 0.3075], [0.5000, 0.5000, 0.0000], [0.5000, 0.0000, 0.5000]]
}



(22)
{
  "formula": "CaZnSnO4",
  "functional": "PBE",
  "state": "optimized geometry",
  "magmom_total_mub_per_fu": 0.00,
  "raw_formation_energy_ev_per_atom": -1.9548,
  "cell": [[6.4325, 0.0000, 0.0000], [-3.2162, 5.6365, -0.3389], [0.0000, -3.3440, 5.4993]],
  "species": ["Ca", "Ca", "Zn", "Zn", "Sn", "Sn", "O", "O", "O", "O", "O", "O", "O", "O"],
  "fractional_positions": [[0.8624, 0.7248, 0.1124], [0.1376, 0.2752, 0.8876], [0.5000, 0.5000, 0.5000], [0.0000, 0.5000, 0.5000], [0.5000, 0.0000, 0.5000], [0.5000, 0.0000, 0.0000], [0.7230, 0.4460, 0.6930], [0.2857, 0.0076, 0.2538], [0.7219, 0.0076, 0.2538], [0.7230, 0.4460, 0.2530], [0.2770, 0.5540, 0.7470], [0.7143, 0.9924, 0.7462], [0.2781, 0.9924, 0.7462], [0.2770, 0.5540, 0.3070]]
}



(23)
{
  "formula": "Dy8Ho",
  "functional": "PBE",
  "state": "optimized geometry",
  "magmom_total_mub_per_fu": 0.00,
  "formation_energy_mev_per_atom": 18,
  "cell": [[-4.3330, -0.6371, 2.3869], [-1.9216, -7.6579, -0.3212], [1.5392, -1.5172, 7.6005]],
  "species": ["Dy", "Dy", "Dy", "Dy", "Dy", "Dy", "Dy", "Dy", "Ho"],
  "fractional_positions": [[0.3335, 0.0000, 0.3330], [0.6665, 0.0000, 0.6670], [0.6665, 0.6670, 0.0000], [0.0000, 0.6668, 0.3332], [0.3332, 0.6668, 0.6668], [0.6668, 0.3332, 0.3332], [0.0000, 0.3332, 0.6668], [0.3335, 0.3330, 0.0000], [0.0000, 0.0000, 0.0000]]
}



(24)
{
  "formula": "CuHg2Mo",
  "functional": "PBE",
  "state": "optimized geometry",
  "magmom_total_mub_per_fu": 0.66,
  "formation_energy_mev_per_atom": 574,
  "cell": [[-0.5488, -3.0872, -2.9592], [2.7170, -0.7607, 0.2897], [0.1713, -4.2273, 4.3784]],
  "species": ["Cu", "Hg", "Hg", "Mo"],
  "fractional_positions": [[0.5000, 0.7500, 0.7500], [0.0000, 0.9243, 0.9953], [0.0000, 0.5757, 0.5047], [0.5000, 0.2500, 0.2500]]
}



(25)
{
  "formula": "ZnMoCl2",
  "functional": "PBE",
  "state": "optimized geometry",
  "magmom_total_mub_per_fu": 0.00,
  "raw_formation_energy_ev_per_atom": 0.3205,
  "cell": [[-0.8829, 7.0672, 0.4632], [-7.0785, -0.8960, 0.1785], [-3.8231, 2.7922, 5.0971]],
  "species": ["Mo", "Mo", "Zn", "Zn", "Cl", "Cl", "Cl", "Cl"],
  "fractional_positions": [[0.0000, 0.0000, 0.0000], [0.7500, 0.2500, 0.5000], [0.5000, 0.5000, 0.0000], [0.2500, 0.7500, 0.5000], [0.7563, 0.1250, 0.2500], [0.9937, 0.6250, 0.2500], [0.3750, 0.2437, 0.7500], [0.8750, 0.0063, 0.7500]]
}